1.
Material: LiH6PtPb
Method: DFT, PBE
State: optimized geometry

Crystal system: monoclinic
Calculated total energy (eV/cell): -32.52
Space-group type: C2 (5)

```
LiH6PtPb
1.0
2.4339 -4.2197 0.0000
2.4339 4.2197 0.0000
-0.0029 0.0000 4.8875
Li H Pt Pb
1 6 1 1
Direct
0.0000 0.0000 0.0000
0.3862 0.0677 0.7891
0.3867 0.3188 0.2106
0.6812 0.6133 0.7894
0.6816 0.0676 0.2107
0.9324 0.3184 0.7893
0.9323 0.6138 0.2109
0.6668 0.3332 0.0000
0.3328 0.6672 0.5000
```

=====

2.
Material: Li2HPtPb
Method: DFT, PBE
State: optimized geometry

Crystal system: tetragonal
Excess energy over the best structure of this formula in the dataset (meV per atom): 0
Calculated total energy (eV/cell): -18.94
Space-group type: P4/mmm (123)

```
Li2HPtPb
1.0
4.4044 0.0000 0.0000
0.0000 4.4044 0.0000
0.0000 0.0000 3.6146
Li H Pt Pb
2 1 1 1
Direct
0.0000 0.5000 0.0000
0.5000 0.0000 0.0000
0.0000 0.0000 0.0000
0.0000 0.0000 0.5000
0.5000 0.5000 0.5000
```